# KCaZnBr5

An optimized crystal structure of KCaZnBr5 (PBE, the Alexandria database).

## Properties
**Crystal system**: monoclinic
**Raw formation energy**: -1534 meV/atom
**Symmetry**: No. 15
**Calculated density**: 3.19 g/cm3

a b c (Å): 7.875 7.875 10.392
angles (deg): 104.34 104.34 105.35
Fractional coordinates of all 16 atoms:
Br1 0.387 0.257 0.066
Br2 0.668 0.090 0.374
Br3 0.257 0.387 0.566
Zn1 0.683 0.317 0.250
Br4 0.613 0.743 0.934
Ca1 0.000 0.000 0.500
Br5 0.088 0.912 0.250
Br6 0.743 0.613 0.434
Ca2 0.000 0.000 0.000
K1 0.347 0.653 0.250
Br7 0.910 0.332 0.126
Br8 0.332 0.910 0.626
Br9 0.912 0.088 0.750
Br10 0.090 0.668 0.874
K2 0.653 0.347 0.750
Zn2 0.317 0.683 0.750